(1)
{"formula": "PmNd2HgN", "functional": "PBE", "state": "optimized geometry", "m_tot_mub_per_fu": 0.000, "total_energy_ev_per_atom": -5.35, "spacegroup": "P4/mmm, No. 123", "vol_a3_per_fu": 125, "lattice_angstrom": [[5.0231, 0.0000, 0.0000], [0.0000, 5.0231, 0.0000], [0.0000, 0.0000, 4.9680]], "species": ["Pm", "Nd", "Nd", "Hg", "N"], "fractional_positions": [[0.0000, 0.0000, 0.0000], [0.0000, 0.5000, 0.5000], [0.5000, 0.0000, 0.5000], [0.5000, 0.5000, 0.0000], [0.0000, 0.0000, 0.5000]]}


(2)
{"formula": "Pm2NdHgN", "functional": "PBE", "state": "optimized geometry", "m_tot_mub_per_fu": 0.000, "total_energy_ev_per_atom": -5.36, "spacegroup": "P4/mmm, No. 123", "vol_a3_per_fu": 124, "lattice_angstrom": [[4.9724, 0.0000, 0.0000], [0.0000, 4.9724, 0.0000], [0.0000, 0.0000, 5.0234]], "species": ["Pm", "Pm", "Nd", "Hg", "N"], "fractional_positions": [[0.0000, 0.5000, 0.0000], [0.5000, 0.0000, 0.0000], [0.0000, 0.0000, 0.5000], [0.5000, 0.5000, 0.5000], [0.0000, 0.0000, 0.0000]]}


(3)
{"formula": "Pm3Nd4Hg3N2", "functional": "PBE", "state": "optimized geometry", "m_tot_mub_per_fu": 0.000, "total_energy_ev_per_atom": -4.95, "spacegroup": "Immm, No. 71", "vol_a3_per_fu": 315, "lattice_angstrom": [[-2.5141, 2.5342, 12.3762], [2.5141, -2.5342, 12.3762], [2.5141, 2.5342, -12.3762]], "species": ["Pm", "Pm", "Pm", "Nd", "Nd", "Nd", "Nd", "Hg", "Hg", "Hg", "N", "N"], "fractional_positions": [[0.0000, 0.0000, 0.0000], [0.0967, 0.5967, 0.5000], [0.9033, 0.4033, 0.5000], [0.2005, 0.2005, 0.0000], [0.4036, 0.9036, 0.5000], [0.5964, 0.0964, 0.5000], [0.7995, 0.7995, 0.0000], [0.3251, 0.3251, 0.0000], [0.5000, 0.5000, 0.0000], [0.6749, 0.6749, 0.0000], [0.1009, 0.1009, 0.0000], [0.8991, 0.8991, 0.0000]]}


(4)
{"formula": "PrNd2HgN", "functional": "PBE", "state": "optimized geometry", "m_tot_mub_per_fu": 0.000, "total_energy_ev_per_atom": -5.33, "spacegroup": "P4/mmm, No. 123", "vol_a3_per_fu": 128, "lattice_angstrom": [[5.0186, 0.0000, 0.0000], [0.0000, 5.0186, 0.0000], [0.0000, 0.0000, 5.0700]], "species": ["Pr", "Nd", "Nd", "Hg", "N"], "fractional_positions": [[0.0000, 0.0000, 0.0000], [0.0000, 0.5000, 0.5000], [0.5000, 0.0000, 0.5000], [0.5000, 0.5000, 0.0000], [0.0000, 0.0000, 0.5000]]}


(5)
{"formula": "Pr2NdHgN", "functional": "PBE", "state": "optimized geometry", "m_tot_mub_per_fu": 0.000, "total_energy_ev_per_atom": -5.33, "spacegroup": "P4/mmm, No. 123", "vol_a3_per_fu": 129, "lattice_angstrom": [[5.0695, 0.0000, 0.0000], [0.0000, 5.0695, 0.0000], [0.0000, 0.0000, 5.0152]], "species": ["Pr", "Pr", "Nd", "Hg", "N"], "fractional_positions": [[0.0000, 0.5000, 0.0000], [0.5000, 0.0000, 0.0000], [0.0000, 0.0000, 0.5000], [0.5000, 0.5000, 0.5000], [0.0000, 0.0000, 0.0000]]}


(6)
{"formula": "Pr2Nd4Hg3N2", "functional": "PBE", "state": "optimized geometry", "m_tot_mub_per_fu": 0.000, "total_energy_ev_per_atom": -4.85, "spacegroup": "I4/mmm, No. 139", "vol_a3_per_fu": 303, "lattice_angstrom": [[-2.4656, 2.4656, 12.4401], [2.4656, -2.4656, 12.4401], [2.4656, 2.4656, -12.4401]], "species": ["Pr", "Pr", "Nd", "Nd", "Nd", "Nd", "Hg", "Hg", "Hg", "N", "N"], "fractional_positions": [[0.1984, 0.1984, 0.0000], [0.8016, 0.8016, 0.0000], [0.0854, 0.5854, 0.5000], [0.4146, 0.9146, 0.5000], [0.5854, 0.0854, 0.5000], [0.9146, 0.4146, 0.5000], [0.3269, 0.3269, 0.0000], [0.5000, 0.5000, 0.0000], [0.6731, 0.6731, 0.0000], [0.1061, 0.1061, 0.0000], [0.8939, 0.8939, 0.0000]]}


(7)
{"formula": "Nd4HgSbN", "functional": "PBE", "state": "optimized geometry", "m_tot_mub_per_fu": 0.000, "total_energy_ev_per_atom": -5.40, "spacegroup": "Cmcm, No. 63", "vol_a3_per_fu": 195, "lattice_angstrom": [[3.4738, -8.0724, 0.0000], [3.4738, 8.0724, 0.0000], [0.0000, 0.0000, 6.9546]], "species": ["Nd", "Nd", "Nd", "Nd", "Nd", "Nd", "Nd", "Nd", "Hg", "Hg", "Sb", "Sb", "N", "N"], "fractional_positions": [[0.0000, 0.5000, 0.0000], [0.0000, 0.5000, 0.5000], [0.0826, 0.9174, 0.7500], [0.4113, 0.5887, 0.7500], [0.5000, 0.0000, 0.0000], [0.5000, 0.0000, 0.5000], [0.5887, 0.4113, 0.2500], [0.9174, 0.0826, 0.2500], [0.1147, 0.8853, 0.2500], [0.8853, 0.1147, 0.7500], [0.3909, 0.6091, 0.2500], [0.6091, 0.3909, 0.7500], [0.2462, 0.7538, 0.7500], [0.7538, 0.2462, 0.2500]]}


(8)
{"formula": "Nd4SiHgN", "functional": "PBE", "state": "optimized geometry", "m_tot_mub_per_fu": 0.000, "total_energy_ev_per_atom": -5.41, "spacegroup": "Cmcm, No. 63", "vol_a3_per_fu": 187, "lattice_angstrom": [[3.4591, -7.8111, 0.0000], [3.4591, 7.8111, 0.0000], [0.0000, 0.0000, 6.9154]], "species": ["Nd", "Nd", "Nd", "Nd", "Nd", "Nd", "Nd", "Nd", "Si", "Si", "Hg", "Hg", "N", "N"], "fractional_positions": [[0.0000, 0.5000, 0.0000], [0.0000, 0.5000, 0.5000], [0.0754, 0.9246, 0.7500], [0.4181, 0.5819, 0.7500], [0.5000, 0.0000, 0.0000], [0.5000, 0.0000, 0.5000], [0.5819, 0.4181, 0.2500], [0.9246, 0.0754, 0.2500], [0.1182, 0.8818, 0.2500], [0.8818, 0.1182, 0.7500], [0.3857, 0.6143, 0.2500], [0.6143, 0.3857, 0.7500], [0.2531, 0.7469, 0.7500], [0.7469, 0.2531, 0.2500]]}